Entry from the Alexandria database: an optimized crystal structure of Cu5Au7 (PBE).

```
12
Lattice="-0.7384 3.1001 1.9763 -0.7440 -4.9448 3.9212 8.7604 2.8598 -1.2129" Properties=species:S:1:pos:R:3 pbc="T T T"
Cu 4.0231 0.2652 1.0872
Cu 3.2549 0.7499 3.5974
Cu 1.7262 -0.9561 2.1448
Cu 5.5519 1.9712 2.5398
Cu 0.0000 0.0000 0.0000
Au 5.5583 -0.6455 3.0894
Au 1.7197 1.6606 1.5952
Au 0.9184 -0.5095 4.7000
Au 6.3597 1.5247 -0.0155
Au -0.6628 0.4840 2.5508
Au 4.0110 2.9800 0.3817
Au 7.9408 0.5312 2.1338
```

Properties
- Crystal system: monoclinic
- M_tot: 0.000 μB per atom
- Formation energy from the elements: -0.014 eV/atom
- Energy above the lowest structure with this stoichiometry: 3 kJ/mol of formula units
- VASP energy: -3.63 eV per atom